Computed, not measured: a relaxed structure of DyPuIn at the GGA-PBE level of DFT.

Properties
The value obtained for the density is 8.7 g/cm3. As for the total energy: -7.036 eV per atom.

abc: 5.1939 5.1939 5.1939
angles: 60.00 60.00 60.00
With the nearest neighbours (Å) after each atom.
Sites, in units of the cell vectors:
1 Dy 0.0000 0.0000 0.0000  4 In 3.18
2 Pu 0.5000 0.5000 0.5000  4 In 3.18
3 In 0.2500 0.2500 0.2500  4 Pu 3.18, 4 Dy 3.18

Computed, not measured: a relaxed structure of RbDyInTe3 at the GGA-PBE level of DFT.

Properties
The value obtained for the density is 5.4 g/cm3. As for the total energy: -3.855 eV per atom.

abc: 8.5887 8.5887 12.2176
angles: 90.00 90.00 149.14
With the nearest neighbours (Å) after each atom.
Sites, in units of the cell vectors:
1 Rb 0.2481 0.7519 0.7500  8 Te 3.89-4.11, 2 In 3.97
2 Rb 0.7519 0.2481 0.2500  8 Te 3.89-4.11, 2 In 3.97
3 Dy 0.5000 0.5000 0.0000  6 Te 3.13-3.20
4 Dy 0.5000 0.5000 0.5000  6 Te 3.13-3.20
5 In 0.0558 0.9442 0.2500  4 Te 2.96
6 In 0.9442 0.0558 0.7500  4 Te 2.96
7 Te 0.1272 0.8728 0.0275  1 In 2.96, 2 Dy 3.13
8 Te 0.1272 0.8728 0.4725  1 In 2.96, 2 Dy 3.13
9 Te 0.4424 0.5576 0.2500  2 In 2.96, 2 Dy 3.20
10 Te 0.5576 0.4424 0.7500  2 In 2.96, 2 Dy 3.20
11 Te 0.8728 0.1272 0.5275  1 In 2.96, 2 Dy 3.13
12 Te 0.8728 0.1272 0.9725  1 In 2.96, 2 Dy 3.13

Computed, not measured: a relaxed structure of DyInRe at the GGA-PBE level of DFT.

Properties
The value obtained for the density is 10.6 g/cm3. As for the total energy: -5.835 eV per atom.

abc: 4.6798 4.6798 4.6798
angles: 60.00 60.00 60.00
With the nearest neighbours (Å) after each atom.
Sites, in units of the cell vectors:
1 Dy 0.0000 0.0000 0.0000  4 In 2.87
2 In 0.2500 0.2500 0.2500  4 Dy 2.87, 4 Re 2.87
3 Re 0.5000 0.5000 0.5000  4 In 2.87

Computed, not measured: a relaxed structure of Dy4In5S13 at the GGA-PBE level of DFT.

Properties
The value obtained for the density is 5.5 g/cm3. As for the total energy: -5.090 eV per atom.

abc: 11.8971 21.5126 3.8597
angles: 90.00 90.00 90.00
With the nearest neighbours (Å) after each atom.
Sites, in units of the cell vectors:
1 Dy 0.0176 0.1747 0.0000  7 S 2.82-2.88
2 Dy 0.1774 0.3405 0.0000  6 S 2.78-2.88
3 Dy 0.3226 0.8405 0.0000  6 S 2.78-2.88
4 Dy 0.4824 0.6747 0.0000  7 S 2.82-2.88
5 Dy 0.5176 0.3253 0.0000  7 S 2.82-2.88
6 Dy 0.6774 0.1595 0.0000  6 S 2.78-2.88
7 Dy 0.8226 0.6595 0.0000  6 S 2.78-2.88
8 Dy 0.9824 0.8253 0.0000  7 S 2.82-2.88
9 In 0.0000 0.5000 0.0000  6 S 2.49-2.78
10 In 0.1535 0.9924 0.5000  6 S 2.61-2.76
11 In 0.1584 0.6678 0.5000  4 S 2.48-2.51
12 In 0.3416 0.1678 0.5000  4 S 2.48-2.51
13 In 0.3465 0.4924 0.5000  6 S 2.61-2.76
14 In 0.5000 0.0000 0.0000  6 S 2.49-2.78
15 In 0.6535 0.5076 0.5000  6 S 2.61-2.76
16 In 0.6584 0.8322 0.5000  4 S 2.48-2.51
17 In 0.8416 0.3322 0.5000  4 S 2.48-2.51
18 In 0.8465 0.0076 0.5000  6 S 2.61-2.76
19 S 0.0000 0.0000 0.0000  4 In 2.66
20 S 0.0033 0.4072 0.5000  3 In 2.51-2.78
21 S 0.0850 0.2628 0.5000  4 Dy 2.78-2.82
22 S 0.1479 0.8642 0.5000  1 In 2.76, 4 Dy 2.88
23 S 0.1533 0.1152 0.5000  2 In 2.51-2.64
24 S 0.1649 0.7403 0.0000  2 In 2.48
25 S 0.2038 0.4727 0.0000  3 In 2.49-2.61
26 S 0.2962 0.9727 0.0000  3 In 2.49-2.61
27 S 0.3351 0.2403 0.0000  2 In 2.48
28 S 0.3467 0.6152 0.5000  2 In 2.51-2.64
29 S 0.3521 0.3642 0.5000  1 In 2.76, 4 Dy 2.88
30 S 0.4150 0.7628 0.5000  4 Dy 2.78-2.82
31 S 0.4967 0.9072 0.5000  3 In 2.51-2.78
32 S 0.5000 0.5000 0.0000  4 In 2.66
33 S 0.5033 0.0928 0.5000  3 In 2.51-2.78
34 S 0.5850 0.2372 0.5000  4 Dy 2.78-2.82
35 S 0.6479 0.6358 0.5000  1 In 2.76, 4 Dy 2.88
36 S 0.6533 0.3848 0.5000  2 In 2.51-2.64
37 S 0.6649 0.7597 0.0000  2 In 2.48
38 S 0.7038 0.0273 0.0000  3 In 2.49-2.61
39 S 0.7962 0.5273 0.0000  3 In 2.49-2.61
40 S 0.8351 0.2597 0.0000  2 In 2.48
41 S 0.8467 0.8848 0.5000  2 In 2.51-2.64
42 S 0.8521 0.1358 0.5000  1 In 2.76, 4 Dy 2.88
43 S 0.9150 0.7372 0.5000  4 Dy 2.78-2.82
44 S 0.9967 0.5928 0.5000  3 In 2.51-2.78

Computed, not measured: a relaxed structure of DyZnInS3 at the GGA-PBE level of DFT.

Properties
The value obtained for the density is 5.0 g/cm3. As for the total energy: -4.656 eV per atom.

abc: 7.3427 7.3427 10.5253
angles: 90.00 90.00 148.80
With the nearest neighbours (Å) after each atom.
Sites, in units of the cell vectors:
1 Dy 0.0000 0.0000 0.0000  6 S 2.74-2.77
2 Dy 0.0000 0.0000 0.5000  6 S 2.74-2.77
3 Zn 0.4610 0.5390 0.7500  4 S 2.32-2.43
4 Zn 0.5390 0.4610 0.2500  4 S 2.32-2.43
5 In 0.2529 0.7471 0.2500  6 S 3.29-3.31, 2 Zn 3.61
6 In 0.7471 0.2529 0.7500  6 S 3.29-3.31, 2 Zn 3.61
7 S 0.0613 0.9387 0.7500  2 Zn 2.43
8 S 0.3739 0.6261 0.5636  1 Zn 2.32
9 S 0.3739 0.6261 0.9364  1 Zn 2.32
10 S 0.6261 0.3739 0.0636  1 Zn 2.32
11 S 0.6261 0.3739 0.4364  1 Zn 2.32
12 S 0.9387 0.0613 0.2500  2 Zn 2.43

Computed, not measured: a relaxed structure of DyZnInS3 at the GGA-PBE level of DFT.

Properties
The value obtained for the density is 5.4 g/cm3. As for the total energy: -4.615 eV per atom.

abc: 11.2387 4.0728 11.7819
angles: 90.00 90.00 90.00
With the nearest neighbours (Å) after each atom.
Sites, in units of the cell vectors:
1 Dy 0.0215 0.2500 0.1707  6 S 2.77-2.87
2 Dy 0.4785 0.7500 0.6707  6 S 2.77-2.87
3 Dy 0.5215 0.2500 0.3293  6 S 2.77-2.87
4 Dy 0.9785 0.7500 0.8293  6 S 2.77-2.87
5 Zn 0.2481 0.7500 0.3049  4 S 2.33-2.41
6 Zn 0.2519 0.2500 0.8049  4 S 2.33-2.41
7 Zn 0.7481 0.7500 0.1951  4 S 2.33-2.41
8 Zn 0.7519 0.2500 0.6951  4 S 2.33-2.41
9 In 0.1623 0.2500 0.5141  5 S 2.95-3.28
10 In 0.3377 0.7500 0.0141  5 S 2.95-3.28
11 In 0.6623 0.2500 0.9859  5 S 2.95-3.28
12 In 0.8377 0.7500 0.4859  5 S 2.95-3.28
13 S 0.0425 0.7500 0.3288  1 Zn 2.33
14 S 0.1009 0.2500 0.9399  1 Zn 2.33
15 S 0.2248 0.7500 0.6994  2 Zn 2.41
16 S 0.2752 0.2500 0.1994  2 Zn 2.41
17 S 0.3991 0.7500 0.4399  1 Zn 2.33
18 S 0.4575 0.2500 0.8288  1 Zn 2.33
19 S 0.5425 0.7500 0.1712  1 Zn 2.33
20 S 0.6009 0.2500 0.5601  1 Zn 2.33
21 S 0.7248 0.7500 0.8006  2 Zn 2.41
22 S 0.7752 0.2500 0.3006  2 Zn 2.41
23 S 0.8991 0.7500 0.0601  1 Zn 2.33
24 S 0.9575 0.2500 0.6712  1 Zn 2.33

Computed, not measured: a relaxed structure of Dy2Sc2In at the GGA-PBE level of DFT.

Properties
The value obtained for the density is 6.6 g/cm3. As for the total energy: -4.817 eV per atom.

abc: 8.3920 8.3920 3.8045
angles: 90.00 90.00 90.00
With the nearest neighbours (Å) after each atom.
Sites, in units of the cell vectors:
1 Dy 0.1414 0.3586 0.0000  6 Sc 3.01-3.18, 2 In 3.23, 1 Dy 3.36
2 Dy 0.3586 0.8586 0.0000  6 Sc 3.01-3.18, 2 In 3.23, 1 Dy 3.36
3 Dy 0.6414 0.1414 0.0000  6 Sc 3.01-3.18, 2 In 3.23, 1 Dy 3.36
4 Dy 0.8586 0.6414 0.0000  6 Sc 3.01-3.18, 2 In 3.23, 1 Dy 3.36
5 Sc 0.1616 0.6616 0.5000  6 Dy 3.01-3.18
6 Sc 0.3384 0.1616 0.5000  6 Dy 3.01-3.18
7 Sc 0.6616 0.8384 0.5000  6 Dy 3.01-3.18
8 Sc 0.8384 0.3384 0.5000  6 Dy 3.01-3.18
9 In 0.0000 0.0000 0.0000  4 Dy 3.23
10 In 0.5000 0.5000 0.0000  4 Dy 3.23

Computed, not measured: a relaxed structure of DyScIn at the GGA-PBE level of DFT.

Properties
The value obtained for the density is 6.9 g/cm3. As for the total energy: -4.898 eV per atom.

abc: 5.2484 5.2484 6.4625
angles: 90.00 90.00 120.00
With the nearest neighbours (Å) after each atom.
Sites, in units of the cell vectors:
1 Dy 0.3333 0.6667 0.2500  5 In 3.03-3.23
2 Dy 0.6667 0.3333 0.7500  5 In 3.03-3.23
3 Sc 0.0000 0.0000 0.0000  2 Sc 3.23, 6 Dy 3.43, 6 In 3.43
4 Sc 0.0000 0.0000 0.5000  2 Sc 3.23, 6 In 3.43, 6 Dy 3.43
5 In 0.3333 0.6667 0.7500  5 Dy 3.03-3.23
6 In 0.6667 0.3333 0.2500  5 Dy 3.03-3.23